1.
This record from Alexandria via LeMat-Bulk describes a PBEsol-optimized structure of ReSbPt. The functional is SCAN.

Cell lengths 3.0458, 3.0458, 6.3527 Å; angles 90.00, 90.00, 120.00 degrees
Closest atoms and distances in Å follow each position.
Space group P3m1 (No. 156)
Unique sites:
1 Re 0.0000 0.0000 0.0000 (multiplicity 1)  3 Pt 2.70, 3 Sb 2.73
2 Sb 0.3333 0.6667 0.6714 (multiplicity 1)  3 Re 2.73, 3 Pt 2.83, 6 Sb 3.05
3 Pt 0.6667 0.3333 0.3218 (multiplicity 1)  3 Re 2.70, 3 Sb 2.83

## Properties
* crystal system: trigonal
* total magnetization: 0.0 μB per formula unit
* uncorrected formation energy: 0.459 eV/atom

=====

2.
This record from Alexandria via LeMat-Bulk describes a PBEsol-optimized structure of Ge2TeS. The functional is SCAN.

Cell lengths 6.8840, 6.8840, 6.8840 Å; angles 90.00, 90.00, 90.00 degrees
Closest atoms and distances in Å follow each position.
Space group Fm-3m (No. 225)
Unique sites:
1 Ge 0.2500 0.2500 0.2500 (multiplicity 8)  4 S 2.98, 4 Te 2.98
2 Te 0.0000 0.0000 0.0000 (multiplicity 4)  8 Ge 2.98
3 S 0.0000 0.0000 0.5000 (multiplicity 4)  8 Ge 2.98

## Properties
* crystal system: cubic
* total magnetization: 0.0 μB per formula unit
* uncorrected formation energy: 0.331 eV/atom

=====

3.
This record from Alexandria via LeMat-Bulk describes a PBEsol-optimized structure of Ca3Mg. The functional is SCAN.

Cell lengths 9.8755, 9.8755, 10.3058 Å; angles 90.00, 90.00, 120.00 degrees
Closest atoms and distances in Å follow each position.
Space group P6_3cm (No. 185)
Unique sites:
1 Ca 0.0000 0.0000 0.2511 (multiplicity 2)  3 Mg 3.33, 6 Ca 3.67-3.69
2 Ca 0.0000 0.2663 0.0000 (multiplicity 6)  3 Mg 3.45, 8 Ca 3.67-3.84
3 Ca 0.0000 0.3836 0.3389 (multiplicity 6)  2 Mg 3.35-3.46, 3 Ca 3.68-3.75
4 Ca 0.3333 0.6667 0.0994 (multiplicity 4)  3 Mg 3.41, 3 Ca 3.81
5 Mg 0.0000 0.3261 0.6702 (multiplicity 6)  8 Ca 3.33-3.46

## Properties
* ΔE_f: 0.00 eV/atom
* crystal system: hexagonal
* total magnetization: 0.2 μB per formula unit

=====

4.
This record from Alexandria via LeMat-Bulk describes a PBEsol-optimized structure of MnSbTe2. The functional is SCAN.

Cell lengths 3.5414, 4.7865, 11.8244 Å; angles 90.00, 90.00, 90.00 degrees
Closest atoms and distances in Å follow each position.
Space group Imm2 (No. 44)
Unique sites:
1 Mn 0.0000 0.0000 0.0000 (multiplicity 2)  6 Te 2.69-2.99, 2 Sb 2.80
2 Sb 0.0000 0.5000 0.3165 (multiplicity 2)  2 Mn 2.80, 2 Te 3.05
3 Te 0.0000 0.0000 0.4765 (multiplicity 2)  4 Mn 2.99, 2 Sb 3.05, 2 Te 3.32
4 Te 0.0000 0.5000 0.6712 (multiplicity 2)  2 Mn 2.69

## Properties
* crystal system: orthorhombic
* total magnetization: 3.9 μB per formula unit
* uncorrected formation energy: -0.028 eV/atom

=====

5.
This record from Alexandria via LeMat-Bulk describes a PBEsol-optimized structure of ScInHg. The functional is SCAN.

Cell lengths 6.5536, 6.5536, 6.5536 Å; angles 90.00, 90.00, 90.00 degrees
Closest atoms and distances in Å follow each position.
Space group F-43m (No. 216)
Unique sites:
1 Sc 0.0000 0.0000 0.0000 (multiplicity 4)  4 Hg 2.84
2 In 0.0000 0.0000 0.5000 (multiplicity 4)  4 Hg 2.84
3 Hg 0.2500 0.2500 0.7500 (multiplicity 4)  4 In 2.84, 4 Sc 2.84

## Properties
* ΔE_f: -0.58 eV/atom
* energy relative to the lowest polymorph listed for this composition: 0.0 meV/atom
* crystal system: cubic
* total magnetization: 0.0 μB per formula unit

=====

6.
This record from Alexandria via LeMat-Bulk describes a PBEsol-optimized structure of K3RbHg. The functional is SCAN.

Cell lengths 6.7511, 6.7511, 6.7511 Å; angles 90.00, 90.00, 90.00 degrees
Closest atoms and distances in Å follow each position.
Space group Pm-3m (No. 221)
Unique sites:
1 K 0.0000 0.0000 0.5000 (multiplicity 3)  2 Hg 3.38
2 Rb 0.5000 0.5000 0.5000 (multiplicity 1)  12 K 4.77
3 Hg 0.0000 0.0000 0.0000 (multiplicity 1)  6 K 3.38

## Properties
* ΔE_f: -0.11 eV/atom
* crystal system: cubic
* total magnetization: 0.0 μB per formula unit

=====

7.
This record from Alexandria via LeMat-Bulk describes a PBEsol-optimized structure of KRu2Rh. The functional is SCAN.

Cell lengths 2.6380, 3.7823, 7.5961 Å; angles 90.00, 90.00, 90.00 degrees
Closest atoms and distances in Å follow each position.
Space group Pmmm (No. 47)
Unique sites:
1 K 0.0000 0.0000 0.0000 (multiplicity 1)  2 K 2.64
2 Ru 0.5000 0.5000 0.3385 (multiplicity 2)  3 Ru 2.45-2.64, 4 Rh 2.61
3 Rh 0.0000 0.0000 0.5000 (multiplicity 1)  8 Ru 2.61, 2 Rh 2.64

## Properties
* ΔE_f: 0.78 eV/atom
* energy relative to the lowest polymorph listed for this composition: 0.0 meV/atom
* crystal system: orthorhombic
* total magnetization: 0.0 μB per formula unit

=====

8.
This record from Alexandria via LeMat-Bulk describes a PBEsol-optimized structure of Ca2NiW. The functional is SCAN.

Cell lengths 2.9381, 5.1599, 10.9553 Å; angles 90.00, 90.00, 90.00 degrees
Closest atoms and distances in Å follow each position.
Space group Imm2 (No. 44)
Unique sites:
1 Ca 0.0000 0.0000 0.0000 (multiplicity 2)  2 Ca 2.94, 2 Ni 2.96, 4 W 3.13
2 Ca 0.0000 0.5000 0.2017 (multiplicity 2)  2 Ca 2.94, 4 Ni 2.99
3 Ni 0.0000 0.5000 0.7345 (multiplicity 2)  2 W 2.41
4 W 0.0000 0.0000 0.4084 (multiplicity 2)  2 Ni 2.41

## Properties
* ΔE_f: 0.63 eV/atom
* energy relative to the lowest polymorph listed for this composition: 0.0 meV/atom
* crystal system: orthorhombic
* total magnetization: 1.0 μB per formula unit

=====

9.
This record from Alexandria via LeMat-Bulk describes a PBEsol-optimized structure of Cr2TeRh. The functional is SCAN.

Cell lengths 3.8647, 3.8647, 3.8881 Å; angles 90.00, 90.00, 90.00 degrees
Closest atoms and distances in Å follow each position.
Space group P4/mmm (No. 123)
Unique sites:
1 Cr 0.0000 0.5000 0.0000 (multiplicity 2)  4 Cr 2.73, 4 Rh 2.74, 4 Te 2.74
2 Te 0.0000 0.0000 0.5000 (multiplicity 1)  4 Rh 2.73, 8 Cr 2.74
3 Rh 0.5000 0.5000 0.5000 (multiplicity 1)  4 Te 2.73, 8 Cr 2.74

## Properties
* crystal system: tetragonal
* total magnetization: 5.0 μB per formula unit
* uncorrected formation energy: 0.042 eV/atom

=====

10.
This record from Alexandria via LeMat-Bulk describes a PBEsol-optimized structure of Sr2BOsPd. The functional is SCAN.

Cell lengths 5.6628, 5.6628, 4.6562 Å; angles 90.00, 90.00, 90.00 degrees
Closest atoms and distances in Å follow each position.
Space group P4/mmm (No. 123)
Unique sites:
1 Sr 0.0000 0.5000 0.0000 (multiplicity 2)  2 Os 2.83
2 B 0.0000 0.0000 0.5000 (multiplicity 1)  8 Sr 3.67, 4 Pd 4.00
3 Os 0.5000 0.5000 0.0000 (multiplicity 1)  2 Pd 2.33
4 Pd 0.5000 0.5000 0.5000 (multiplicity 1)  2 Os 2.33

## Properties
* ΔE_f: 1.26 eV/atom
* crystal system: tetragonal
* total magnetization: 0.0 μB per formula unit

=====

11.
This record from Alexandria via LeMat-Bulk describes a PBEsol-optimized structure of Li2SnP2O7. The functional is SCAN.

Cell lengths 5.2191, 6.8941, 8.9715 Å; angles 107.12, 93.05, 111.49 degrees
Closest atoms and distances in Å follow each position.
Space group P-1 (No. 2)
Unique sites:
1 Li 0.0878 0.3342 0.0141 (multiplicity 2)  4 O 1.95-2.07
2 Li 0.3523 0.6175 0.7801 (multiplicity 2)  4 O 1.94-2.11
3 Sn 0.1680 0.1151 0.3509 (multiplicity 2)  4 O 2.21-2.40
4 P 0.2564 0.6148 0.3527 (multiplicity 2)  4 O 1.51-1.63
5 P 0.4863 0.1520 0.8591 (multiplicity 2)  4 O 1.52-1.63
6 O 0.0070 0.3565 0.6927 (multiplicity 2)  1 P 1.51
7 O 0.1850 0.0983 0.8841 (multiplicity 2)  1 P 1.52
8 O 0.2501 0.3874 0.2446 (multiplicity 2)  1 P 1.57
9 O 0.2953 0.6462 0.0109 (multiplicity 2)  1 P 1.53
10 O 0.3508 0.6605 0.5269 (multiplicity 2)  1 P 1.52
11 O 0.4351 0.0495 0.1756 (multiplicity 2)  1 P 1.54
12 O 0.4879 0.2044 0.6935 (multiplicity 2)  2 P 1.63

## Properties
* energy relative to the lowest polymorph listed for this composition: 0.0 meV/atom
* crystal system: triclinic
* total magnetization: 0.0 μB per formula unit
* uncorrected formation energy: -2.349 eV/atom

=====

12.
This record from Alexandria via LeMat-Bulk describes a PBEsol-optimized structure of TcRh2. The functional is SCAN.

Cell lengths 4.2533, 4.2533, 2.6361 Å; angles 90.00, 90.00, 120.00 degrees
Closest atoms and distances in Å follow each position.
Space group P6/mmm (No. 191)
Unique sites:
1 Tc 0.0000 0.0000 0.0000 (multiplicity 1)  2 Tc 2.64, 12 Rh 2.79
2 Rh 0.3333 0.6667 0.5000 (multiplicity 2)  5 Rh 2.46-2.64

## Properties
* ΔE_f: 0.11 eV/atom
* energy relative to the lowest polymorph listed for this composition: 288.5 meV/atom
* crystal system: hexagonal
* total magnetization: 0.0 μB per formula unit

=====

13.
This record from Alexandria via LeMat-Bulk describes a PBEsol-optimized structure of Ag3Te. The functional is SCAN.

Cell lengths 4.6664, 5.8999, 5.6583 Å; angles 90.00, 90.00, 90.00 degrees
Closest atoms and distances in Å follow each position.
Space group Pmmn (No. 59, origin choice 2)
Unique sites:
1 Ag 0.2500 0.0032 0.1465 (multiplicity 4)  7 Ag 2.86-2.99, 4 Te 3.01-3.18
2 Ag 0.2500 0.7500 0.7096 (multiplicity 2)  6 Ag 2.87-2.89, 4 Te 2.97-3.08
3 Te 0.2500 0.2500 0.6470 (multiplicity 2)  12 Ag 2.97-3.18

## Properties
* energy relative to the lowest polymorph listed for this composition: 44.3 meV/atom
* crystal system: orthorhombic
* total magnetization: 0.0 μB per formula unit
* uncorrected formation energy: 0.058 eV/atom

=====

14.
This record from Alexandria via LeMat-Bulk describes a PBEsol-optimized structure of ZrTi2CdN. The functional is SCAN.

Cell lengths 4.1594, 4.1594, 4.4496 Å; angles 90.00, 90.00, 90.00 degrees
Closest atoms and distances in Å follow each position.
Space group P4/mmm (No. 123)
Unique sites:
1 Zr 0.0000 0.0000 0.0000 (multiplicity 1)  2 N 2.22
2 Ti 0.0000 0.5000 0.5000 (multiplicity 2)  2 N 2.08
3 Cd 0.5000 0.5000 0.0000 (multiplicity 1)  4 Zr 2.94, 8 Ti 3.05
4 N 0.0000 0.0000 0.5000 (multiplicity 1)  4 Ti 2.08, 2 Zr 2.22

## Properties
* crystal system: tetragonal
* total magnetization: 1.0 μB per formula unit
* uncorrected formation energy: -0.946 eV/atom

=====

15.
This record from Alexandria via LeMat-Bulk describes a PBEsol-optimized structure of Zn2CrCl. The functional is SCAN.

Cell lengths 3.5575, 3.5575, 5.5089 Å; angles 90.00, 90.00, 90.00 degrees
Closest atoms and distances in Å follow each position.
Space group P4/mmm (No. 123)
Unique sites:
1 Zn 0.0000 0.5000 0.0000 (multiplicity 2)  4 Zn 2.52
2 Cr 0.0000 0.0000 0.5000 (multiplicity 1)  4 Cl 2.52
3 Cl 0.5000 0.5000 0.5000 (multiplicity 1)  4 Cr 2.52

## Properties
* energy relative to the lowest polymorph listed for this composition: 133.2 meV/atom
* crystal system: tetragonal
* total magnetization: 4.6 μB per formula unit
* uncorrected formation energy: 0.037 eV/atom

=====

16.
This record from Alexandria via LeMat-Bulk describes a PBEsol-optimized structure of Zn5Mo. The functional is SCAN.

Cell lengths 4.4793, 2.7018, 14.0402 Å; angles 90.00, 90.00, 90.00 degrees
Closest atoms and distances in Å follow each position.
Space group Amm2 (No. 38)
Unique sites:
1 Zn 0.0000 0.0000 0.0000 (multiplicity 2)  12 Zn 2.70-2.75
2 Zn 0.0000 0.0000 0.3300 (multiplicity 2)  10 Zn 2.66-2.74, 2 Mo 2.73
3 Zn 0.0000 0.0000 0.6669 (multiplicity 2)  8 Zn 2.66-2.77, 4 Mo 2.72
4 Zn 0.5000 0.0000 0.5509 (multiplicity 2)  10 Zn 2.68-2.77, 2 Mo 2.72
5 Zn 0.5000 0.0000 0.8860 (multiplicity 2)  10 Zn 2.68-2.75, 2 Mo 2.70
6 Mo 0.5000 0.0000 0.2194 (multiplicity 2)  10 Zn 2.70-2.73, 2 Mo 2.70

## Properties
* ΔE_f: 0.09 eV/atom
* energy relative to the lowest polymorph listed for this composition: 87.3 meV/atom
* crystal system: orthorhombic
* total magnetization: 0.0 μB per formula unit

=====

17.
This record from Alexandria via LeMat-Bulk describes a PBEsol-optimized structure of CsSnIr3. The functional is SCAN.

Cell lengths 4.9767, 4.9767, 4.9767 Å; angles 90.00, 90.00, 90.00 degrees
Closest atoms and distances in Å follow each position.
Space group Pm-3m (No. 221)
Unique sites:
1 Cs 0.0000 0.0000 0.0000 (multiplicity 1)  12 Ir 3.52
2 Sn 0.5000 0.5000 0.5000 (multiplicity 1)  6 Ir 2.49
3 Ir 0.0000 0.5000 0.5000 (multiplicity 3)  2 Sn 2.49

## Properties
* ΔE_f: 1.72 eV/atom
* crystal system: cubic
* total magnetization: 1.7 μB per formula unit

=====

18.
This record from Alexandria via LeMat-Bulk describes a PBEsol-optimized structure of K2Sr2Ca. The functional is SCAN.

Cell lengths 5.0755, 5.0755, 22.2854 Å; angles 90.00, 90.00, 90.00 degrees
Closest atoms and distances in Å follow each position.
Space group I4/mmm (No. 139)
Unique sites:
1 K 0.0000 0.5000 0.2500 (multiplicity 4)  4 K 3.59
2 Sr 0.0000 0.0000 0.0885 (multiplicity 4)  1 Sr 3.94, 4 Ca 4.09, 4 K 4.40
3 Ca 0.0000 0.0000 0.5000 (multiplicity 2)  8 Sr 4.09

## Properties
* ΔE_f: 0.26 eV/atom
* crystal system: tetragonal
* total magnetization: 0.5 μB per formula unit

=====

19.
This record from Alexandria via LeMat-Bulk describes a PBEsol-optimized structure of Co. The functional is SCAN.

Cell lengths 3.4621, 3.4621, 3.4621 Å; angles 90.00, 90.00, 90.00 degrees
Closest atoms and distances in Å follow each position.
Space group Fm-3m (No. 225)
Unique sites:
1 Co 0.0000 0.0000 0.0000 (multiplicity 4)  12 Co 2.45

## Properties
* ΔE_f: 0.00 eV/atom
* energy relative to the lowest polymorph listed for this composition: 1.4 meV/atom
* crystal system: cubic
* total magnetization: 1.8 μB per formula unit

=====

20.
This record from Alexandria via LeMat-Bulk describes a PBEsol-optimized structure of TlSbAu2. The functional is SCAN.

Cell lengths 7.0958, 4.1592, 6.7194 Å; angles 90.00, 110.86, 90.00 degrees
Closest atoms and distances in Å follow each position.
Space group C2/m (No. 12)
Unique sites:
1 Tl 0.0000 0.0000 0.0000 (multiplicity 2)  6 Au 2.90-2.92
2 Sb 0.0000 0.5000 0.5000 (multiplicity 2)  6 Au 2.79-2.80
3 Au 0.2442 0.0000 0.7342 (multiplicity 4)  3 Sb 2.79-2.80, 3 Tl 2.90-2.92

## Properties
* energy relative to the lowest polymorph listed for this composition: 24.5 meV/atom
* crystal system: monoclinic
* total magnetization: 0.0 μB per formula unit
* uncorrected formation energy: -0.066 eV/atom